No. 1
A plane-wave DFT calculation with PBE was carried out for an optimized crystal structure of LiMg3In3Ni2.

- symmetry = P-62m, No. 189
- energy of formation (kJ/mol of atoms) = -5

abc: 7.700 7.700 3.179
angles: 90.00 90.00 120.00
Sites, in units of the cell vectors:
Li: 0.000 0.000 0.000
Mg: 0.000 0.701 0.500
Mg: 0.299 0.299 0.500
Mg: 0.701 0.000 0.500
In: 0.000 0.373 0.000
In: 0.373 0.000 0.000
In: 0.627 0.627 0.000
Ni: 0.333 0.667 0.500
Ni: 0.667 0.333 0.500


No. 2
A plane-wave DFT calculation with PBE was carried out for an optimized crystal structure of LiMg2In2Ni2.

- symmetry = C2/m, No. 12
- energy of formation (kJ/mol of atoms) = -9

abc: 5.208 5.208 7.096
angles: 116.37 116.37 48.91
Sites, in units of the cell vectors:
Li: 0.000 0.000 0.000
Mg: 0.217 0.217 0.782
Mg: 0.783 0.783 0.218
In: 0.495 0.495 0.715
In: 0.505 0.505 0.285
Ni: 0.198 0.198 0.392
Ni: 0.802 0.802 0.608


No. 3
A plane-wave DFT calculation with PBE was carried out for an optimized crystal structure of Li2Mg3In3Ni.

- symmetry = P-62m, No. 189
- energy of formation (kJ/mol of atoms) = -17

abc: 7.962 7.962 3.222
angles: 90.00 90.00 120.00
Sites, in units of the cell vectors:
Li: 0.333 0.667 0.000
Li: 0.667 0.333 0.000
Mg: 0.000 0.260 0.000
Mg: 0.260 0.000 0.000
Mg: 0.740 0.740 0.000
In: 0.000 0.628 0.500
In: 0.372 0.372 0.500
In: 0.628 0.000 0.500
Ni: 0.000 0.000 0.500


No. 4
A plane-wave DFT calculation with PBE was carried out for an optimized crystal structure of LiMgIn2Ni.

- symmetry = P4/mmm, No. 123
- energy of formation (kJ/mol of atoms) = -7
- ΔE to the lowest computed polymorph (kJ per mole of atoms) = 0.0

abc: 4.906 4.906 4.874
angles: 90.00 90.00 90.00
Sites, in units of the cell vectors:
Li: 0.000 0.000 0.000
Mg: 0.500 0.500 0.000
In: 0.000 0.500 0.500
In: 0.500 0.000 0.500
Ni: 0.500 0.500 0.500


No. 5
A plane-wave DFT calculation with PBE was carried out for an optimized crystal structure of LiMgIn2Ni.

- symmetry = P4/mmm, No. 123
- energy of formation (kJ/mol of atoms) = 2
- ΔE to the lowest computed polymorph (kJ per mole of atoms) = 9.1

abc: 4.910 4.910 4.684
angles: 90.00 90.00 90.00
Sites, in units of the cell vectors:
Li: 0.000 0.000 0.000
Mg: 0.500 0.500 0.000
In: 0.000 0.500 0.500
In: 0.500 0.000 0.500
Ni: 0.000 0.000 0.500


No. 6
A plane-wave DFT calculation with PBE was carried out for an optimized crystal structure of LiMg2InO4.

- E_tot (eV/f.u.) = -45.09
- symmetry = P2/m, No. 10

abc: 5.247 3.127 5.301
angles: 90.00 107.55 90.00
Sites, in units of the cell vectors:
Li: 0.000 0.000 0.000
Mg: 0.000 0.500 0.500
Mg: 0.500 0.000 0.500
In: 0.500 0.500 0.000
O: 0.244 0.000 0.740
O: 0.263 0.500 0.268
O: 0.737 0.500 0.732
O: 0.756 0.000 0.260


No. 7
A plane-wave DFT calculation with PBE was carried out for an optimized crystal structure of LiMg3In3O8.

- E_tot (eV/f.u.) = -83.01
- symmetry = R-3m, No. 166

abc: 6.192 6.192 6.192
angles: 60.38 60.38 60.38
Sites, in units of the cell vectors:
Li: 0.000 0.000 0.000
Mg: 0.000 0.000 0.500
Mg: 0.000 0.500 0.000
Mg: 0.500 0.000 0.000
In: 0.000 0.500 0.500
In: 0.500 0.000 0.500
In: 0.500 0.500 0.000
O: 0.239 0.760 0.760
O: 0.240 0.240 0.761
O: 0.240 0.761 0.240
O: 0.242 0.242 0.242
O: 0.758 0.758 0.758
O: 0.760 0.239 0.760
O: 0.760 0.760 0.239
O: 0.761 0.240 0.240


No. 8
A plane-wave DFT calculation with PBE was carried out for an optimized crystal structure of Li2MgInO4.

- E_tot (eV/f.u.) = -41.57
- symmetry = I-42m, No. 121

abc: 5.278 5.278 5.278
angles: 123.96 123.96 83.27
Sites, in units of the cell vectors:
Li: 0.250 0.750 0.500
Li: 0.750 0.250 0.500
Mg: 0.000 0.000 0.000
In: 0.500 0.500 0.000
O: 0.111 0.627 0.000
O: 0.373 0.373 0.485
O: 0.627 0.111 0.000
O: 0.889 0.889 0.515


No. 9
A plane-wave DFT calculation with PBE was carried out for an optimized crystal structure of LiMgInOs2.

- symmetry = P4/mmm, No. 123
- energy of formation (kJ/mol of atoms) = 99

abc: 4.291 4.291 4.399
angles: 90.00 90.00 90.00
Sites, in units of the cell vectors:
Li: 0.000 0.000 0.000
Mg: 0.500 0.500 0.500
In: 0.000 0.000 0.500
Os: 0.000 0.500 0.000
Os: 0.500 0.000 0.000


No. 10
A plane-wave DFT calculation with PBE was carried out for an optimized crystal structure of LiMgIn2Pb.

- symmetry = Cmcm, No. 63
- energy of formation (kJ/mol of atoms) = -1

abc: 7.734 7.734 5.991
angles: 90.00 90.00 134.53
Sites, in units of the cell vectors:
Li: 0.146 0.854 0.750
Li: 0.854 0.146 0.250
Mg: 0.344 0.656 0.750
Mg: 0.656 0.344 0.250
In: 0.247 0.247 0.000
In: 0.247 0.247 0.500
In: 0.753 0.753 0.000
In: 0.753 0.753 0.500
Pb: 0.253 0.747 0.250
Pb: 0.747 0.253 0.750


No. 11
A plane-wave DFT calculation with PBE was carried out for an optimized crystal structure of Li2MgIn5Pb2.

- symmetry = P4/mbm, No. 127
- energy of formation (kJ/mol of atoms) = -8

abc: 10.313 10.313 4.673
angles: 90.00 90.00 90.00
Sites, in units of the cell vectors:
Li: 0.119 0.381 0.000
Li: 0.381 0.881 0.000
Li: 0.619 0.119 0.000
Li: 0.881 0.619 0.000
Mg: 0.000 0.000 0.000
Mg: 0.500 0.500 0.000
In: 0.000 0.500 0.500
In: 0.070 0.203 0.500
In: 0.203 0.930 0.500
In: 0.297 0.430 0.500
In: 0.430 0.703 0.500
In: 0.500 0.000 0.500
In: 0.570 0.297 0.500
In: 0.703 0.570 0.500
In: 0.797 0.070 0.500
In: 0.930 0.797 0.500
Pb: 0.176 0.676 0.000
Pb: 0.324 0.176 0.000
Pb: 0.676 0.824 0.000
Pb: 0.824 0.324 0.000


No. 12
A plane-wave DFT calculation with PBE was carried out for an optimized crystal structure of LiMg2In5Pb.

- symmetry = P4/mbm, No. 127
- energy of formation (kJ/mol of atoms) = 2

abc: 7.219 7.219 9.101
angles: 90.00 90.00 90.00
Sites, in units of the cell vectors:
Li: 0.000 0.500 0.000
Li: 0.500 0.000 0.000
Mg: 0.137 0.363 0.500
Mg: 0.363 0.863 0.500
Mg: 0.637 0.137 0.500
Mg: 0.863 0.637 0.500
In: 0.000 0.000 0.500
In: 0.182 0.682 0.239
In: 0.182 0.682 0.761
In: 0.318 0.182 0.239
In: 0.318 0.182 0.761
In: 0.500 0.500 0.500
In: 0.682 0.818 0.239
In: 0.682 0.818 0.761
In: 0.818 0.318 0.239
In: 0.818 0.318 0.761
Pb: 0.000 0.000 0.000
Pb: 0.500 0.500 0.000


No. 13
A plane-wave DFT calculation with PBE was carried out for an optimized crystal structure of LiMgInPb3.

- symmetry = P2_1/m, No. 11
- energy of formation (kJ/mol of atoms) = -8

abc: 9.485 3.551 10.071
angles: 90.00 109.44 90.00
Sites, in units of the cell vectors:
Li: 0.128 0.250 0.288
Li: 0.872 0.750 0.712
Mg: 0.372 0.750 0.865
Mg: 0.628 0.250 0.135
In: 0.106 0.250 0.618
In: 0.894 0.750 0.382
Pb: 0.116 0.250 0.934
Pb: 0.355 0.750 0.531
Pb: 0.370 0.750 0.194
Pb: 0.630 0.250 0.806
Pb: 0.645 0.250 0.469
Pb: 0.884 0.750 0.066


No. 14
A plane-wave DFT calculation with PBE was carried out for an optimized crystal structure of LiMg3In3Pd2.

- symmetry = P-62m, No. 189
- energy of formation (kJ/mol of atoms) = -36

abc: 7.920 7.920 3.177
angles: 90.00 90.00 120.00
Sites, in units of the cell vectors:
Li: 0.000 0.000 0.000
Mg: 0.000 0.385 0.000
Mg: 0.385 0.000 0.000
Mg: 0.615 0.615 0.000
In: 0.000 0.709 0.500
In: 0.291 0.291 0.500
In: 0.709 0.000 0.500
Pd: 0.333 0.667 0.500
Pd: 0.667 0.333 0.500


No. 15
A plane-wave DFT calculation with PBE was carried out for an optimized crystal structure of Li2Mg3In3Pd.

- symmetry = P-62m, No. 189
- energy of formation (kJ/mol of atoms) = -29

abc: 8.034 8.034 3.243
angles: 90.00 90.00 120.00
Sites, in units of the cell vectors:
Li: 0.333 0.667 0.000
Li: 0.667 0.333 0.000
Mg: 0.000 0.729 0.000
Mg: 0.271 0.271 0.000
Mg: 0.729 0.000 0.000
In: 0.000 0.377 0.500
In: 0.377 0.000 0.500
In: 0.623 0.623 0.500
Pd: 0.000 0.000 0.500


No. 16
A plane-wave DFT calculation with PBE was carried out for an optimized crystal structure of Li2MgIn2Pd5.

- symmetry = P4/mbm, No. 127
- energy of formation (kJ/mol of atoms) = -46

abc: 9.300 9.300 3.681
angles: 90.00 90.00 90.00
Sites, in units of the cell vectors:
Li: 0.123 0.377 0.000
Li: 0.377 0.877 0.000
Li: 0.623 0.123 0.000
Li: 0.877 0.623 0.000
Mg: 0.000 0.000 0.000
Mg: 0.500 0.500 0.000
In: 0.173 0.673 0.000
In: 0.327 0.173 0.000
In: 0.673 0.827 0.000
In: 0.827 0.327 0.000
Pd: 0.000 0.500 0.500
Pd: 0.078 0.201 0.500
Pd: 0.201 0.922 0.500
Pd: 0.299 0.422 0.500
Pd: 0.422 0.701 0.500
Pd: 0.500 0.000 0.500
Pd: 0.578 0.299 0.500
Pd: 0.701 0.578 0.500
Pd: 0.799 0.078 0.500
Pd: 0.922 0.799 0.500


No. 17
A plane-wave DFT calculation with PBE was carried out for an optimized crystal structure of Li2PmMg2In2.

- symmetry = C2/m, No. 12
- energy of formation (kJ/mol of atoms) = -26

abc: 4.808 4.808 8.661
angles: 105.97 105.97 59.78
Sites, in units of the cell vectors:
Li: 0.074 0.074 0.220
Li: 0.926 0.926 0.780
Pm: 0.500 0.500 0.500
Mg: 0.364 0.364 0.092
Mg: 0.636 0.636 0.908
In: 0.240 0.240 0.720
In: 0.760 0.760 0.280


No. 18
A plane-wave DFT calculation with PBE was carried out for an optimized crystal structure of LiPmMgIn.

- symmetry = F-43m, No. 216
- energy of formation (kJ/mol of atoms) = -28

abc: 5.133 5.133 5.133
angles: 60.00 60.00 60.00
Sites, in units of the cell vectors:
Li: 0.000 0.000 0.000
Pm: 0.750 0.750 0.750
Mg: 0.250 0.250 0.250
In: 0.500 0.500 0.500


No. 19
A plane-wave DFT calculation with PBE was carried out for an optimized crystal structure of LiPmMg2In4.

- symmetry = R-3m, No. 166
- energy of formation (kJ/mol of atoms) = -26

abc: 9.139 9.139 9.139
angles: 32.06 32.06 32.06
Sites, in units of the cell vectors:
Li: 0.000 0.000 0.000
Pm: 0.500 0.500 0.500
Mg: 0.249 0.249 0.249
Mg: 0.751 0.751 0.751
In: 0.113 0.113 0.113
In: 0.369 0.369 0.369
In: 0.631 0.631 0.631
In: 0.887 0.887 0.887


No. 20
A plane-wave DFT calculation with PBE was carried out for an optimized crystal structure of Li2PmMgIn4.

- symmetry = R-3m, No. 166
- energy of formation (kJ/mol of atoms) = -28

abc: 9.519 9.519 9.519
angles: 29.69 29.69 29.69
Sites, in units of the cell vectors:
Li: 0.241 0.241 0.241
Li: 0.759 0.759 0.759
Pm: 0.000 0.000 0.000
Mg: 0.500 0.500 0.500
In: 0.123 0.123 0.123
In: 0.391 0.391 0.391
In: 0.609 0.609 0.609
In: 0.877 0.877 0.877